Below is SmPd9Pt3 after structural relaxation, with properties calculated at the PBE-GGA level.

Total moment (μB/f.u.): 0.000
Symmetry: No. 12
D(E_F) (states/eV per cell): 16.623
Formation energy (meV per atom): -270
Electronic total energy (eV/atom): -5.622

Cell and atoms, written as POSCAR:
```
SmPd9Pt3
1.0
-0.4363 -0.1233 5.2847
5.0842 -3.7041 3.0231
3.4111 5.2657 3.0662
Pd Pt Sm
9 3 1
direct
0.2828 0.2178 0.2175 Pd
0.4998 0.7822 0.2175 Pd
0.3507 0.6525 0.6527 Pd
0.7172 0.7822 0.7825 Pd
0.0034 0.6525 0.3473 Pd
0.0000 0.5000 0.0000 Pd
0.9966 0.3475 0.6527 Pd
0.6493 0.3475 0.3473 Pd
0.5002 0.2178 0.7825 Pd
0.5000 0.5000 0.0000 Pt
0.0000 0.0000 0.5000 Pt
0.5000 0.0000 0.5000 Pt
0.0000 0.0000 0.0000 Sm
```